# 1
Here is crystalline Tb3Rh2 at its relaxed geometry from Alexandria. Energies are from PBE.

The calculation puts the formation energy at -684 meV per atom. For the total moment, the calculation gives 0.0 μB/f.u. The mass density comes out at 9.36 g/cm³.

Geometry as extended XYZ:
```
10
Lattice="-1.806 2.575 -2.885 -2.899 -5.253 0.284 -6.079 3.741 7.145" Properties=species:S:1:pos:R:3 pbc="T T T"
Tb -5.582 3.236 1.647
Tb -2.975 -3.544 0.278
Tb -5.203 -2.173 2.896
Tb -7.810 4.607 4.265
Tb -7.610 0.739 3.845
Tb -3.175 0.324 0.698
Rh -5.393 0.531 2.271
Rh -2.353 -1.339 -1.301
Rh -5.543 2.895 4.475
Rh -5.242 -1.832 0.068
```

---

# 2
Here is crystalline Dy12Tl3Cd at its relaxed geometry from Alexandria. Energies are from PBE.

The calculation puts the formation energy at -157 meV per atom. For the total moment, the calculation gives 3.3 μB/f.u. The mass density comes out at 9.75 g/cm³.

Geometry as extended XYZ:
```
16
Lattice="4.848 0.000 0.000 0.000 4.848 0.000 0.000 0.000 19.387" Properties=species:S:1:pos:R:3 pbc="T T T"
Dy 2.424 2.424 0.000
Dy 2.424 2.424 4.833
Dy 2.424 2.424 9.694
Dy 2.424 2.424 14.554
Dy 2.424 0.000 2.407
Dy 2.424 0.000 7.271
Dy 2.424 0.000 12.116
Dy 2.424 0.000 16.980
Dy 0.000 2.424 2.407
Dy 0.000 2.424 7.271
Dy 0.000 2.424 12.116
Dy 0.000 2.424 16.980
Tl 0.000 0.000 4.842
Tl 0.000 0.000 9.694
Tl 0.000 0.000 14.545
Cd 0.000 0.000 0.000
```

---

# 3
Here is crystalline HfAlIO2 at its relaxed geometry from Alexandria. Energies are from PBE.

The formation energy from raw total energies is -59 kJ/mol of atoms. For the total moment, the calculation gives 0.0 μB/f.u. The mass density comes out at 7.48 g/cm³.

Geometry as extended XYZ:
```
5
Lattice="3.894 0.000 0.000 0.000 3.894 0.000 0.000 0.000 5.333" Properties=species:S:1:pos:R:3 pbc="T T T"
I 0.000 0.000 2.666
Hf 1.947 1.947 2.666
Al 0.000 0.000 0.000
O 0.000 1.947 0.000
O 1.947 0.000 0.000
```